Entry 1:
The following is a DFT calculation (GGA-PBE) of crystalline Al2CrB2 at its relaxed geometry.

Lattice parameters (Å, degrees): 5.664 5.664 3.209 90.00 90.00 90.00
Fractional positions:
Al 0.185 0.315 0.000
Al 0.315 0.815 0.000
Al 0.685 0.185 0.000
Al 0.815 0.685 0.000
Cr 0.000 0.000 0.500
Cr 0.500 0.500 0.500
B 0.107 0.607 0.500
B 0.393 0.107 0.500
B 0.607 0.893 0.500
B 0.893 0.393 0.500

Computed properties:
Calculated volume, Å³ per cell: 103
Calculated formation energy, eV/atom: -0.057
Fermi-level density of states, states/eV per atom: 0.52
Calculated total energy, eV per atom: -6.1501



Entry 2:
The following is a DFT calculation (GGA-PBE) of crystalline ReCl at its relaxed geometry.

Lattice parameters (Å, degrees): 3.641 3.641 3.641 60.00 60.00 60.00
Fractional positions:
Re 0.000 0.000 0.000
Cl 0.500 0.500 0.500

Computed properties:
Calculated volume, Å³ per cell: 34
Formation energy (no corrections), eV per atom: 2.235
Offset from the most stable computed form, kJ per mole of atoms: 226.4
Fermi-level density of states, states/eV per atom: 1.01
Calculated total energy, eV per atom: -4.9123



Entry 3:
The following is a DFT calculation (GGA-PBE) of crystalline Rb2SrBeCo at its relaxed geometry.

Lattice parameters (Å, degrees): 7.303 7.303 4.772 90.00 90.00 90.00
Fractional positions:
Rb 0.000 0.500 0.000
Rb 0.500 0.000 0.000
Sr 0.000 0.000 0.000
Be 0.500 0.500 0.500
Co 0.000 0.000 0.500

Computed properties:
Calculated volume, Å³ per cell: 255
Calculated formation energy, eV/atom: 1.472
Fermi-level density of states, states/eV per atom: 1.61
Calculated total energy, eV per atom: -1.4181



Q: Which of these has the highest calculated total energy?
A: Rb2SrBeCo



Q: calculated total energy of number 1 (Al2CrB2)?
A: -6.1501 eV per atom